# 1
{"formula": "BaZnGaAg2", "functional": "PBE", "state": "relaxed", "space_group": "P4/mmm, No. 123", "delta_e_f_ev_per_atom": -0.08, "de_polymorph_mev_per_atom": 147.5, "magnetic_moment_mub_per_fu": 0.000, "cell": [[-3.662, 1.500, 3.244], [1.351, -3.719, 3.245], [3.214, 3.087, 2.199]], "species": ["Ga", "Zn", "Ag", "Ag", "Ba"], "frac_coords": [[0.000, 0.000, 0.500], [0.000, 0.000, 0.000], [0.000, 0.500, 0.000], [0.500, 0.000, 0.000], [0.500, 0.500, 0.500]]}

# 2
{"formula": "Ba2NiC2", "functional": "PBE", "state": "relaxed", "space_group": "C2/c, No. 15", "delta_e_f_ev_per_atom": 0.66, "magnetic_moment_mub_per_fu": 0.000, "cell": [[-5.182, -0.506, 2.513], [5.066, -3.277, 3.134], [0.198, 7.060, 1.830]], "species": ["C", "C", "C", "C", "Ba", "Ba", "Ba", "Ba", "Ni", "Ni"], "frac_coords": [[0.348, 0.197, 0.628], [0.849, 0.197, 0.128], [0.151, 0.803, 0.872], [0.652, 0.803, 0.372], [0.611, 0.724, 0.787], [0.389, 0.276, 0.213], [0.112, 0.724, 0.287], [0.888, 0.276, 0.713], [0.751, 0.000, 0.250], [0.249, 0.000, 0.750]]}

# 3
{"formula": "ScVIr2", "functional": "PBE", "state": "relaxed", "space_group": "P4/mmm, No. 123", "delta_e_f_ev_per_atom": -0.57, "magnetic_moment_mub_per_fu": 1.282, "cell": [[3.516, 0.000, 0.000], [0.000, 4.199, 0.000], [0.000, 0.000, 4.199]], "species": ["V", "Ir", "Ir", "Sc"], "frac_coords": [[0.500, 0.500, 0.500], [0.000, 0.000, 0.500], [0.000, 0.500, 0.000], [0.500, 0.000, 0.000]]}

# 4
{"formula": "Tl2CrCl", "functional": "PBE", "state": "relaxed", "space_group": "Immm, No. 71", "formation_energy_uncorrected_ev_per_atom": 0.04, "de_polymorph_mev_per_atom": 124.9, "magnetic_moment_mub_per_fu": 4.004, "cell": [[8.273, 0.006, 0.045], [7.636, 3.183, 0.045], [1.014, 0.203, 4.012]], "species": ["Tl", "Tl", "Cr", "Cl"], "frac_coords": [[0.926, 0.926, 0.074], [0.574, 0.574, 0.426], [0.250, 0.250, 0.250], [0.750, 0.750, 0.750]]}

# 5
{"formula": "Li6Ca2Cd", "functional": "PBE", "state": "relaxed", "space_group": "C2/m, No. 12", "delta_e_f_ev_per_atom": -0.07, "magnetic_moment_mub_per_fu": 0.000, "cell": [[-3.843, 3.869, 3.611], [-3.438, 1.262, -4.990], [-4.884, -3.544, -1.378]], "species": ["Li", "Li", "Li", "Li", "Li", "Li", "Ca", "Ca", "Cd"], "frac_coords": [[0.662, 0.173, 0.173], [0.663, 0.656, 0.172], [0.663, 0.172, 0.656], [0.337, 0.344, 0.828], [0.338, 0.827, 0.827], [0.337, 0.828, 0.344], [0.873, 0.667, 0.667], [0.127, 0.333, 0.333], [0.000, 0.000, 0.000]]}

# 6
{"formula": "Sr2CrMoPt", "functional": "PBE", "state": "relaxed", "space_group": "P4/mmm, No. 123", "delta_e_f_ev_per_atom": 0.94, "magnetic_moment_mub_per_fu": 0.000, "cell": [[-2.228, -3.346, 4.146], [-1.882, -2.371, -2.925], [4.661, -3.402, -0.241]], "species": ["Sr", "Sr", "Cr", "Pt", "Mo"], "frac_coords": [[0.000, 0.000, 0.500], [0.500, 0.000, 0.000], [0.000, 0.000, 0.000], [0.500, 0.500, 0.500], [0.000, 0.500, 0.000]]}